Entry 1:
Sm3Al9Ag2 (PBE, optimized geometry); total moment = 0.000 μB/atom
1.0
-2.178 5.087 6.320
2.178 -5.087 6.320
2.178 5.087 -6.320
Al Sm Ag
9 3 2
Direct
0.856 0.633 0.223
0.708 0.837 0.871
0.034 0.163 0.871
0.292 0.163 0.129
0.966 0.837 0.129
0.589 0.367 0.223
0.500 0.500 0.000
0.144 0.367 0.777
0.411 0.633 0.777
0.312 0.812 0.500
0.000 0.500 0.500
0.688 0.188 0.500
0.714 0.000 0.714
0.286 0.000 0.286


Entry 2:
SrSm2Al7Ag2 (PBE, optimized geometry); total moment = 0.002 μB/atom
1.0
5.302 2.181 7.569
7.403 -2.593 5.350
8.673 2.415 3.017
Al Sr Sm Ag
7 1 2 2
Direct
0.500 0.500 0.500
0.412 0.925 0.412
0.075 0.588 0.588
0.925 0.412 0.412
0.588 0.588 0.075
0.588 0.075 0.588
0.412 0.412 0.925
0.000 0.000 0.000
0.142 0.142 0.142
0.858 0.858 0.858
0.336 0.336 0.336
0.664 0.664 0.664


Entry 3:
SmY2Al7Ag2 (PBE, optimized geometry); total moment = 0.001 μB/atom
1.0
2.785 1.608 8.810
-2.785 1.608 8.810
0.000 -3.215 8.810
Ag Al Y Sm
2 7 2 1
Direct
0.664 0.664 0.664
0.336 0.336 0.336
0.076 0.588 0.588
0.588 0.588 0.076
0.588 0.076 0.588
0.412 0.412 0.924
0.412 0.924 0.412
0.924 0.412 0.412
0.500 0.500 0.500
0.858 0.858 0.858
0.142 0.142 0.142
0.000 0.000 0.000


Entry 4:
Al2Ag2Sn (PBE, optimized geometry); ΔE to the lowest computed polymorph = 0.0 meV/atom
1.0
-5.935 0.782 3.107
-5.587 3.191 -2.025
4.821 -4.388 -1.731
Sn Ag Al
1 2 2
Direct
0.000 0.000 0.000
0.389 0.389 0.000
0.611 0.611 0.000
0.750 0.250 0.500
0.250 0.750 0.500


Entry 5:
Al2Ag2Sn (PBE, optimized geometry); ΔE to the lowest computed polymorph = 35.8 meV/atom
1.0
-2.024 3.446 -0.863
-3.326 -2.187 -0.932
0.856 -0.278 6.568
Al Sn Ag
2 1 2
Direct
0.394 0.394 0.789
0.606 0.606 0.211
0.000 0.000 0.000
0.750 0.250 0.500
0.250 0.750 0.500


Entry 6:
A plane-wave DFT calculation with PBE was carried out for SrAl2Ag2 after structural relaxation.

The structure in POSCAR format:
```
SrAl2Ag2
1.0
-1.734 -3.348 5.051
-1.938 3.038 5.172
-1.170 0.080 -6.193
Sr Al Ag
1 2 2
Direct
0.000 0.000 0.000
0.377 0.377 0.000
0.623 0.623 0.000
0.250 0.750 0.500
0.750 0.250 0.500
```


Entry 7:
A plane-wave DFT calculation with PBE was carried out for SrAl2Ag3 after structural relaxation.

The structure in POSCAR format:
```
SrAl2Ag3
1.0
5.351 -4.409 0.000
5.351 4.409 0.000
0.000 0.000 5.505
Al Ag Sr
4 6 2
Direct
0.213 0.213 0.000
0.787 0.787 0.000
0.787 0.787 0.500
0.213 0.213 0.500
0.057 0.943 0.250
0.532 0.081 0.750
0.919 0.468 0.750
0.468 0.919 0.250
0.943 0.057 0.750
0.081 0.532 0.250
0.320 0.680 0.750
0.680 0.320 0.250
```


Entry 8:
A plane-wave DFT calculation with PBE was carried out for SrAl4Ag8 after structural relaxation.

The structure in POSCAR format:
```
SrAl4Ag8
1.0
7.167 -0.451 0.475
-5.374 1.944 4.375
-1.434 -7.047 -0.286
Al Sr Ag
4 1 8
Direct
0.000 0.500 0.000
0.500 0.500 0.500
0.500 0.000 0.000
0.000 0.000 0.500
0.000 0.000 0.000
0.500 0.279 0.779
0.279 0.500 0.779
0.721 0.500 0.221
0.346 0.000 0.346
0.654 0.000 0.654
0.000 0.654 0.654
0.500 0.721 0.221
0.000 0.346 0.346
```


Entry 9:
A plane-wave DFT calculation with PBE was carried out for SrAl2Ag2 after structural relaxation.

The structure in POSCAR format:
```
SrAl2Ag2
1.0
0.061 -6.014 2.667
-5.308 -3.859 0.468
3.268 3.715 -4.337
Al Ag Sr
2 2 1
Direct
0.750 0.250 0.500
0.250 0.750 0.500
0.623 0.623 0.000
0.377 0.377 0.000
0.000 0.000 0.000
```


Entry 10:
A plane-wave DFT calculation with PBE was carried out for Sr2AlAg after structural relaxation.

The structure in POSCAR format:
```
Sr2AlAg
1.0
-4.627 -2.251 -1.264
-3.428 -1.332 3.814
-4.512 2.717 0.574
Sr Ag Al
2 1 1
Direct
0.500 0.500 0.500
0.250 0.250 0.250
0.750 0.750 0.750
0.000 0.000 0.000
```


Entry 11:
A plane-wave DFT calculation with PBE was carried out for SrAlAg after structural relaxation.

The structure in POSCAR format:
```
SrAlAg
1.0
-2.249 0.785 4.574
-4.814 1.836 0.225
-3.857 -3.059 1.535
Ag Al Sr
1 1 1
Direct
0.250 0.250 0.250
0.750 0.750 0.750
0.000 0.000 0.000
```


Entry 12:
A plane-wave DFT calculation with PBE was carried out for Sr2AlAg2 after structural relaxation.

The structure in POSCAR format:
```
Sr2AlAg2
1.0
-3.972 -0.022 0.704
-0.100 -3.974 -0.690
3.492 0.544 8.157
Sr Al Ag
2 1 2
Direct
0.396 0.396 0.793
0.604 0.604 0.207
0.000 0.000 0.000
0.250 0.750 0.500
0.750 0.250 0.500
```


Record-wise total DFT energy (no corrections) values, in eV/atom: -4.22 -4.01 -4.60 -3.36 -3.33 -3.20 -3.21 -3.21 -3.21 -2.51 -2.28 -2.56